Record 1
Below is a relaxed structure of SmEuGdSn, with properties calculated at the PBE level.

a b c (Å): 5.5189 5.5189 5.5189
angles (deg): 60.00 60.00 60.00
Fractional coordinates of all 4 atoms:
Sm 0.0000 0.0000 0.0000
Eu 0.2500 0.2500 0.2500
Gd 0.5000 0.5000 0.5000
Sn 0.7500 0.7500 0.7500

Output
As for the space group: F-43m, No. 216. For the formation energy from the elements, the calculation gives -0.270 eV/atom.

=====

Record 2
Below is a relaxed structure of PtSeO3, with properties calculated at the PBE level.

a b c (Å): 3.9568 3.9568 3.9568
angles (deg): 90.00 90.00 90.00
Fractional coordinates of all 5 atoms:
Pt 0.0000 0.0000 0.0000
Se 0.5000 0.5000 0.5000
O 0.0000 0.0000 0.5000
O 0.0000 0.5000 0.0000
O 0.5000 0.0000 0.0000

Output
The total energy comes out at -4.507 eV/atom. As for the space group: Pm-3m, No. 221.

=====

Record 3
Below is a relaxed structure of ZrInTc3, with properties calculated at the PBE level.

a b c (Å): 4.8168 4.8168 4.8168
angles (deg): 90.00 90.00 90.00
Fractional coordinates of all 5 atoms:
Zr 0.0000 0.0000 0.0000
In 0.5000 0.5000 0.5000
Tc 0.0000 0.0000 0.5000
Tc 0.0000 0.5000 0.0000
Tc 0.5000 0.0000 0.0000

Output
The relative energy among the computed polymorphs comes out at 0.00 eV per formula unit. As for the space group: Pm-3m, No. 221. For the formation energy from the elements, the calculation gives 1.686 eV/atom.

=====

Record 4
Below is a relaxed structure of Tl2TePb, with properties calculated at the PBE level.

a b c (Å): 8.9042 8.9042 8.9042
angles (deg): 27.70 27.70 27.70
Fractional coordinates of all 4 atoms:
Tl 0.2439 0.2439 0.2439
Tl 0.7561 0.7561 0.7561
Te 0.5000 0.5000 0.5000
Pb 0.0000 0.0000 0.0000

Output
The relative energy among the computed polymorphs comes out at 0.55 eV per formula unit. As for the space group: R-3m, No. 166.